Run i
DFT (PBE-GGA) results for a relaxed SrScBePt2 crystal.

a = 5.222 Å, b = 4.710 Å, c = 5.222 Å
α = 90.00°, β = 90.00°, γ = 90.00°
Sites, in units of the cell vectors:
Sc1 0.500 0.500 0.500
Pt1 0.000 0.000 0.500
Be1 0.000 0.500 0.000
Pt2 0.500 0.000 0.000
Sr1 0.000 0.000 0.000

Calculated values
Space group = No. 123
Total magnetization = 0.000 μB per atom


Run ii
DFT (PBE-GGA) results for a relaxed SrScBePt2 crystal.

a = 4.447 Å, b = 4.908 Å, c = 4.447 Å
α = 90.00°, β = 90.00°, γ = 90.00°
Sites, in units of the cell vectors:
Sc1 0.500 0.500 0.500
Sr1 0.000 0.500 0.000
Be1 0.000 0.000 0.000
Pt1 0.500 0.000 0.000
Pt2 0.000 0.000 0.500

Calculated values
Space group = No. 123
Total magnetization = 0.000 μB per atom


Which one sits at the top of the stability order? run ii does.


Run i
DFT (PBE-GGA) results for a relaxed Be2Pt2Se crystal.

a = 7.029 Å, b = 7.029 Å, c = 2.752 Å
α = 90.00°, β = 90.00°, γ = 90.00°
Sites, in units of the cell vectors:
Be1 0.365 0.135 0.500
Se1 0.000 0.000 0.000
Be2 0.135 0.635 0.500
Pt1 0.152 0.348 0.000
Pt2 0.848 0.652 0.000
Pt3 0.348 0.848 0.000
Be3 0.635 0.865 0.500
Be4 0.865 0.365 0.500
Pt4 0.652 0.152 0.000
Se2 0.500 0.500 0.000

Calculated values
Space group = No. 127
Total magnetization = 0.000 μB per atom


Run ii
DFT (PBE-GGA) results for a relaxed Be2Pt2Se crystal.

a = 3.883 Å, b = 3.883 Å, c = 5.751 Å
α = 70.27°, β = 70.27°, γ = 90.00°
Sites, in units of the cell vectors:
Pt1 0.750 0.250 0.500
Pt2 0.250 0.750 0.500
Be1 0.629 0.629 0.742
Be2 0.371 0.371 0.258
Se1 0.000 0.000 0.000

Calculated values
Space group = No. 139
Total magnetization = 0.000 μB per atom


Run iii
DFT (PBE-GGA) results for a relaxed Be2Pt2Se crystal.

a = 7.054 Å, b = 7.054 Å, c = 2.742 Å
α = 90.00°, β = 90.00°, γ = 90.00°
Sites, in units of the cell vectors:
Be1 0.859 0.641 0.000
Pt1 0.145 0.645 0.500
Se1 0.500 0.500 0.000
Pt2 0.355 0.145 0.500
Pt3 0.645 0.855 0.500
Be2 0.141 0.359 0.000
Pt4 0.855 0.355 0.500
Se2 0.000 0.000 0.000
Be3 0.359 0.859 0.000
Be4 0.641 0.141 0.000

Calculated values
Space group = No. 127
Total magnetization = 0.000 μB per atom


Which one sits at the top of the stability order? run i does.


Run i
DFT (PBE-GGA) results for a relaxed BePtSe3 crystal.

a = 4.490 Å, b = 4.490 Å, c = 4.490 Å
α = 90.00°, β = 90.00°, γ = 90.00°
Sites, in units of the cell vectors:
Be1 0.000 0.000 0.000
Se1 0.000 0.000 0.500
Pt1 0.500 0.500 0.500
Se2 0.500 0.000 0.000
Se3 0.000 0.500 0.000

Calculated values
Space group = No. 221
Total magnetization = 0.000 μB per atom


Run ii
DFT (PBE-GGA) results for a relaxed BePtSe3 crystal.

a = 4.964 Å, b = 4.964 Å, c = 4.964 Å
α = 90.00°, β = 90.00°, γ = 90.00°
Sites, in units of the cell vectors:
Se1 0.500 0.000 0.000
Be1 0.500 0.500 0.500
Se2 0.000 0.500 0.000
Pt1 0.000 0.000 0.000
Se3 0.000 0.000 0.500

Calculated values
Space group = No. 221
Total magnetization = 0.000 μB per atom


Which one sits at the top of the stability order? run i does.


Run i
DFT (PBE-GGA) results for a relaxed Be3PtSe crystal.

a = 4.177 Å, b = 4.177 Å, c = 4.177 Å
α = 90.00°, β = 90.00°, γ = 90.00°
Sites, in units of the cell vectors:
Be1 0.500 0.000 0.000
Be2 0.000 0.000 0.500
Se1 0.000 0.000 0.000
Pt1 0.500 0.500 0.500
Be3 0.000 0.500 0.000

Calculated values
Space group = No. 221
Total magnetization = 0.000 μB per atom


Run ii
DFT (PBE-GGA) results for a relaxed Be3PtSe crystal.

a = 4.326 Å, b = 4.326 Å, c = 4.326 Å
α = 90.00°, β = 90.00°, γ = 90.00°
Sites, in units of the cell vectors:
Be1 0.000 0.000 0.500
Se1 0.500 0.500 0.500
Be2 0.500 0.000 0.000
Be3 0.000 0.500 0.000
Pt1 0.000 0.000 0.000

Calculated values
Space group = No. 221
Total magnetization = 0.000 μB per atom


Which one sits at the top of the stability order? run ii does.


Run i
DFT (PBE-GGA) results for a relaxed BePt2Se2 crystal.

a = 3.683 Å, b = 3.683 Å, c = 7.222 Å
α = 75.23°, β = 75.23°, γ = 90.00°
Sites, in units of the cell vectors:
Pt1 0.406 0.406 0.188
Be1 0.000 0.000 0.000
Se1 0.750 0.250 0.500
Pt2 0.594 0.594 0.812
Se2 0.250 0.750 0.500

Calculated values
Space group = No. 139
Total magnetization = 0.000 μB per atom


Run ii
DFT (PBE-GGA) results for a relaxed BePt2Se2 crystal.

a = 5.893 Å, b = 5.893 Å, c = 5.020 Å
α = 90.00°, β = 90.00°, γ = 90.00°
Sites, in units of the cell vectors:
Pt1 0.837 0.663 0.000
Be1 0.000 0.000 0.000
Se1 0.723 0.223 0.500
Se2 0.777 0.723 0.500
Se3 0.277 0.777 0.500
Pt2 0.663 0.163 0.000
Be2 0.500 0.500 0.000
Pt3 0.163 0.337 0.000
Pt4 0.337 0.837 0.000
Se4 0.223 0.277 0.500

Calculated values
Space group = No. 127
Total magnetization = 0.000 μB per atom


Which one sits at the top of the stability order? run ii does.


Run i
DFT (PBE-GGA) results for a relaxed Be2SiPt2 crystal.

a = 5.416 Å, b = 5.416 Å, c = 5.416 Å
α = 138.01°, β = 138.01°, γ = 60.89°
Sites, in units of the cell vectors:
Si1 0.000 0.000 0.000
Be1 0.618 0.618 0.000
Be2 0.382 0.382 0.000
Pt1 0.750 0.250 0.500
Pt2 0.250 0.750 0.500

Calculated values
Space group = No. 139
Total magnetization = 0.000 μB per atom


Run ii
DFT (PBE-GGA) results for a relaxed Be2SiPt2 crystal.

a = 3.173 Å, b = 3.173 Å, c = 6.659 Å
α = 76.22°, β = 76.22°, γ = 90.00°
Sites, in units of the cell vectors:
Be1 0.250 0.750 0.500
Pt1 0.610 0.610 0.779
Si1 0.000 0.000 0.000
Pt2 0.390 0.390 0.221
Be2 0.750 0.250 0.500

Calculated values
Space group = No. 139
Total magnetization = 0.000 μB per atom


Which one sits at the top of the stability order? run ii does.


Run i
DFT (PBE-GGA) results for a relaxed BeSi3Pt crystal.

a = 4.214 Å, b = 4.214 Å, c = 4.214 Å
α = 90.00°, β = 90.00°, γ = 90.00°
Sites, in units of the cell vectors:
Pt1 0.500 0.500 0.500
Si1 0.500 0.000 0.000
Si2 0.000 0.000 0.500
Si3 0.000 0.500 0.000
Be1 0.000 0.000 0.000

Calculated values
Space group = No. 221
Total magnetization = 0.000 μB per atom


Run ii
DFT (PBE-GGA) results for a relaxed BeSi3Pt crystal.

a = 4.704 Å, b = 4.704 Å, c = 4.704 Å
α = 90.00°, β = 90.00°, γ = 90.00°
Sites, in units of the cell vectors:
Si1 0.500 0.000 0.000
Si2 0.000 0.500 0.000
Pt1 0.000 0.000 0.000
Be1 0.500 0.500 0.500
Si3 0.000 0.000 0.500

Calculated values
Space group = No. 221
Total magnetization = 0.000 μB per atom


Which one sits at the top of the stability order? run i does.


Run i
DFT (PBE-GGA) results for a relaxed BeSiPt4 crystal.

a = 5.738 Å, b = 6.988 Å, c = 4.435 Å
α = 90.00°, β = 89.99°, γ = 90.00°
Sites, in units of the cell vectors:
Si1 0.500 0.500 0.000
Pt1 0.390 0.319 0.494
Be1 0.500 0.000 0.500
Pt2 0.610 0.681 0.506
Pt3 0.381 0.832 0.007
Pt4 0.619 0.168 0.993
Pt5 0.881 0.668 0.007
Si2 0.000 0.000 0.000
Pt6 0.110 0.819 0.506
Pt7 0.890 0.181 0.494
Pt8 0.119 0.332 0.993
Be2 0.000 0.500 0.500

Calculated values
Space group = No. 14
Total magnetization = 0.000 μB per atom


Run ii
DFT (PBE-GGA) results for a relaxed BeSiPt4 crystal.

a = 5.237 Å, b = 5.237 Å, c = 5.237 Å
α = 60.00°, β = 60.00°, γ = 60.00°
Sites, in units of the cell vectors:
Si1 0.750 0.750 0.750
Be1 0.000 0.000 0.000
Pt1 0.375 0.875 0.375
Pt2 0.375 0.375 0.875
Pt3 0.375 0.375 0.375
Pt4 0.875 0.375 0.375

Calculated values
Space group = No. 216
Total magnetization = 0.000 μB per atom


Which one sits at the top of the stability order? run i does.


Run i
DFT (PBE-GGA) results for a relaxed SmBePt crystal.

a = 6.151 Å, b = 6.151 Å, c = 6.151 Å
α = 90.00°, β = 90.00°, γ = 90.00°
Sites, in units of the cell vectors:
Pt1 0.323 0.677 0.177
Pt2 0.677 0.177 0.323
Be1 0.589 0.911 0.089
Sm1 0.379 0.879 0.621
Pt3 0.823 0.823 0.823
Sm2 0.879 0.621 0.379
Sm3 0.621 0.379 0.879
Be2 0.411 0.411 0.411
Be3 0.911 0.089 0.589
Sm4 0.121 0.121 0.121
Be4 0.089 0.589 0.911
Pt4 0.177 0.323 0.677

Calculated values
Space group = No. 198
Total magnetization = 0.000 μB per atom


Run ii
DFT (PBE-GGA) results for a relaxed SmBePt crystal.

a = 3.771 Å, b = 5.561 Å, c = 6.032 Å
α = 108.01°, β = 108.22°, γ = 90.00°
Sites, in units of the cell vectors:
Pt1 0.612 0.735 0.224
Sm1 0.103 0.305 0.207
Sm2 0.897 0.695 0.793
Be1 0.778 0.107 0.557
Be2 0.222 0.893 0.443
Pt2 0.388 0.265 0.776

Calculated values
Space group = No. 12
Total magnetization = 0.000 μB per atom


Which one sits at the top of the stability order? run ii does.


Run i
DFT (PBE-GGA) results for a relaxed SrBe2Pt2 crystal.

a = 7.350 Å, b = 7.350 Å, c = 2.864 Å
α = 90.00°, β = 90.00°, γ = 90.00°
Sites, in units of the cell vectors:
Sr1 0.000 0.000 0.000
Sr2 0.500 0.500 0.000
Be1 0.112 0.388 0.000
Pt1 0.156 0.656 0.500
Be2 0.388 0.888 0.000
Pt2 0.344 0.156 0.500
Pt3 0.844 0.344 0.500
Be3 0.888 0.612 0.000
Pt4 0.656 0.844 0.500
Be4 0.612 0.112 0.000

Calculated values
Space group = No. 127
Total magnetization = 0.000 μB per atom


Run ii
DFT (PBE-GGA) results for a relaxed SrBe2Pt2 crystal.

a = 5.777 Å, b = 5.697 Å, c = 6.892 Å
α = 77.73°, β = 65.22°, γ = 59.53°
Sites, in units of the cell vectors:
Pt1 0.502 0.250 0.996
Sr1 0.875 0.750 0.250
Pt2 0.252 0.750 0.496
Be1 0.450 0.599 0.750
Pt3 0.748 0.250 0.504
Be2 0.200 0.100 0.250
Sr2 0.125 0.250 0.750
Be3 0.800 0.900 0.750
Be4 0.550 0.401 0.250
Pt4 0.498 0.750 0.004

Calculated values
Space group = No. 70
Total magnetization = 0.000 μB per atom


Run iii
DFT (PBE-GGA) results for a relaxed SrBe2Pt2 crystal.

a = 4.100 Å, b = 4.100 Å, c = 5.837 Å
α = 69.44°, β = 69.44°, γ = 90.00°
Sites, in units of the cell vectors:
Be1 0.750 0.250 0.500
Sr1 0.000 0.000 0.000
Pt1 0.358 0.358 0.284
Be2 0.250 0.750 0.500
Pt2 0.642 0.642 0.716

Calculated values
Space group = No. 139
Total magnetization = 0.000 μB per atom


Run iv
DFT (PBE-GGA) results for a relaxed SrBe2Pt2 crystal.

a = 7.477 Å, b = 7.477 Å, c = 2.827 Å
α = 90.00°, β = 90.00°, γ = 90.00°
Sites, in units of the cell vectors:
Sr1 0.000 0.000 0.000
Be1 0.124 0.624 0.500
Be2 0.876 0.376 0.500
Pt1 0.356 0.856 0.000
Pt2 0.144 0.356 0.000
Pt3 0.644 0.144 0.000
Pt4 0.856 0.644 0.000
Be3 0.376 0.124 0.500
Sr2 0.500 0.500 0.000
Be4 0.624 0.876 0.500

Calculated values
Space group = No. 127
Total magnetization = 0.000 μB per atom


Which one sits at the top of the stability order? run ii does.


Run i
DFT (PBE-GGA) results for a relaxed SrBe3Pt crystal.

a = 4.417 Å, b = 4.417 Å, c = 4.417 Å
α = 90.00°, β = 90.00°, γ = 90.00°
Sites, in units of the cell vectors:
Sr1 0.500 0.500 0.500
Be1 0.500 0.000 0.000
Be2 0.000 0.500 0.000
Pt1 0.000 0.000 0.000
Be3 0.000 0.000 0.500

Calculated values
Space group = No. 221
Total magnetization = 0.000 μB per atom


Run ii
DFT (PBE-GGA) results for a relaxed SrBe3Pt crystal.

a = 4.825 Å, b = 4.825 Å, c = 4.825 Å
α = 90.00°, β = 90.00°, γ = 90.00°
Sites, in units of the cell vectors:
Pt1 0.500 0.500 0.500
Be1 0.500 0.000 0.000
Be2 0.000 0.500 0.000
Be3 0.000 0.000 0.500
Sr1 0.000 0.000 0.000

Calculated values
Space group = No. 221
Total magnetization = 0.000 μB per atom


Which one sits at the top of the stability order? run i does.